(1)
Entry from the Alexandria database: a relaxed Hf2In2Br crystal (PBE).

Computed properties:
**N(E_F)**: 10.87 states/eV per cell
**Space group**: P4/mbm (127)

a b c (Å): 7.1841 7.1841 4.5508
angles (deg): 90.00 90.00 90.00
With the nearest neighbours (Å) after each atom.
Element x y z (fractional)
Hf (0.3540, 0.8540, 0.0000)  2 Br 2.75, 1 Hf 2.97, 2 In 3.06
Hf (0.8540, 0.6460, 0.0000)  2 Br 2.75, 1 Hf 2.97, 2 In 3.06
Hf (0.6460, 0.1460, 0.0000)  2 Br 2.75, 1 Hf 2.97, 2 In 3.06
Hf (0.1460, 0.3540, 0.0000)  2 Br 2.75, 1 Hf 2.97, 2 In 3.06
Br (0.0000, 0.0000, 0.0000)  4 Hf 2.75
Br (0.5000, 0.5000, 0.0000)  4 Hf 2.75
In (0.1531, 0.6531, 0.5000)  6 Hf 3.06-3.13, 1 In 3.11
In (0.6531, 0.8469, 0.5000)  6 Hf 3.06-3.13, 1 In 3.11
In (0.8469, 0.3469, 0.5000)  6 Hf 3.06-3.13, 1 In 3.11
In (0.3469, 0.1531, 0.5000)  6 Hf 3.06-3.13, 1 In 3.11


(2)
Entry from the Alexandria database: a relaxed HfIn3Br crystal (PBE).

Computed properties:
**Distance to the lowest polymorph of the same formula**: 0.0 kJ/mol of formula units
**N(E_F)**: 4.12 states/eV per cell
**Space group**: Pm-3m (221)

a b c (Å): 5.7550 5.7550 5.7550
angles (deg): 90.00 90.00 90.00
With the nearest neighbours (Å) after each atom.
Element x y z (fractional)
Hf (0.0000, 0.0000, 0.0000)  6 In 2.88
Br (0.5000, 0.5000, 0.5000)  12 In 4.07
In (0.0000, 0.5000, 0.0000)  2 Hf 2.88
In (0.0000, 0.0000, 0.5000)  2 Hf 2.88
In (0.5000, 0.0000, 0.0000)  2 Hf 2.88


(3)
Entry from the Alexandria database: a relaxed HfIn2Br6 crystal (PBE).

Computed properties:
**N(E_F)**: 0.00 states/eV per cell
**Space group**: P2_1/c (14)

a b c (Å): 7.4478 8.5066 10.2956
angles (deg): 90.00 91.37 90.00
With the nearest neighbours (Å) after each atom.
Element x y z (fractional)
Hf (0.5000, 0.5000, 0.0000)  6 Br 2.62-2.64
Hf (0.0000, 0.0000, 0.5000)  6 Br 2.62-2.64
In (0.9847, 0.3970, 0.7593)  7 Br 3.28-3.66
In (0.5153, 0.8970, 0.7407)  7 Br 3.28-3.66
In (0.4847, 0.1030, 0.2593)  7 Br 3.28-3.66
In (0.0153, 0.6030, 0.2407)  7 Br 3.28-3.66
Br (0.9098, 0.9766, 0.2524)  1 Hf 2.63
Br (0.8294, 0.7371, 0.5474)  1 Hf 2.62
Br (0.7936, 0.6635, 0.9583)  1 Hf 2.64
Br (0.7064, 0.1635, 0.5417)  1 Hf 2.64
Br (0.6706, 0.2371, 0.9526)  1 Hf 2.62
Br (0.5902, 0.4766, 0.2476)  1 Hf 2.63
Br (0.0902, 0.0234, 0.7476)  1 Hf 2.63
Br (0.1706, 0.2629, 0.4526)  1 Hf 2.62
Br (0.2064, 0.3365, 0.0417)  1 Hf 2.64
Br (0.2936, 0.8365, 0.4583)  1 Hf 2.64
Br (0.3294, 0.7629, 0.0474)  1 Hf 2.62
Br (0.4098, 0.5234, 0.7524)  1 Hf 2.63


(4)
Entry from the Alexandria database: a relaxed HfInBr5 crystal (PBE).

Computed properties:
**N(E_F)**: 0.00 states/eV per cell
**Space group**: C2/c (15)

a b c (Å): 7.5319 7.5319 12.8699
angles (deg): 59.02 59.02 74.15
With the nearest neighbours (Å) after each atom.
Element x y z (fractional)
Hf (0.0000, 0.0000, 0.0000)  6 Br 2.57-2.72
Hf (0.5000, 0.5000, 0.5000)  6 Br 2.57-2.72
In (0.2039, 0.2961, 0.2500)  7 Br 3.32-3.53
In (0.7961, 0.7039, 0.7500)  7 Br 3.32-3.53
Br (0.2047, 0.0867, 0.0771)  1 Hf 2.57
Br (0.2394, 0.7902, 0.4359)  1 Hf 2.60
Br (0.5867, 0.7047, 0.5771)  1 Hf 2.57
Br (0.8263, 0.6737, 0.2500)  2 Hf 2.72
Br (0.7098, 0.2606, 0.0641)  1 Hf 2.60
Br (0.2902, 0.7394, 0.9359)  1 Hf 2.60
Br (0.1737, 0.3263, 0.7500)  2 Hf 2.72
Br (0.4133, 0.2953, 0.4229)  1 Hf 2.57
Br (0.7606, 0.2098, 0.5641)  1 Hf 2.60
Br (0.7953, 0.9133, 0.9229)  1 Hf 2.57


(5)
Entry from the Alexandria database: a relaxed KHfInBr6 crystal (PBE).

Computed properties:
**N(E_F)**: 0.00 states/eV per cell
**Space group**: P-31c (163)

a b c (Å): 7.9146 7.9146 12.8935
angles (deg): 90.00 90.00 120.00
With the nearest neighbours (Å) after each atom.
Element x y z (fractional)
K (0.3333, 0.6667, 0.2500)  6 Br 3.30
K (0.6667, 0.3333, 0.7500)  6 Br 3.30
Hf (0.6667, 0.3333, 0.2500)  6 Br 2.63
Hf (0.3333, 0.6667, 0.7500)  6 Br 2.63
In (0.0000, 0.0000, 0.0000)  6 Br 3.37
In (0.0000, 0.0000, 0.5000)  6 Br 3.37
Br (0.6685, 0.6048, 0.1314)  1 Hf 2.63
Br (0.9363, 0.3315, 0.1314)  1 Hf 2.63
Br (0.3315, 0.9363, 0.6314)  1 Hf 2.63
Br (0.0637, 0.6685, 0.8686)  1 Hf 2.63
Br (0.3952, 0.3315, 0.3686)  1 Hf 2.63
Br (0.9363, 0.6048, 0.3686)  1 Hf 2.63
Br (0.6048, 0.9363, 0.8686)  1 Hf 2.63
Br (0.6685, 0.0637, 0.3686)  1 Hf 2.63
Br (0.0637, 0.3952, 0.6314)  1 Hf 2.63
Br (0.3952, 0.0637, 0.1314)  1 Hf 2.63
Br (0.6048, 0.6685, 0.6314)  1 Hf 2.63
Br (0.3315, 0.3952, 0.8686)  1 Hf 2.63


(6)
Entry from the Alexandria database: a relaxed LiHfInBr6 crystal (PBE).

Computed properties:
**N(E_F)**: 0.00 states/eV per cell
**Space group**: P-31c (163)

a b c (Å): 7.0356 7.0356 14.3037
angles (deg): 90.00 90.00 120.00
With the nearest neighbours (Å) after each atom.
Element x y z (fractional)
Li (0.3333, 0.6667, 0.2500)  6 Br 2.76
Li (0.6667, 0.3333, 0.7500)  6 Br 2.76
Hf (0.6667, 0.3333, 0.2500)  6 Br 2.63
Hf (0.3333, 0.6667, 0.7500)  6 Br 2.63
In (0.0000, 0.0000, 0.0000)  6 Br 3.32
In (0.0000, 0.0000, 0.5000)  6 Br 3.32
Br (0.6363, 0.6217, 0.1435)  1 Hf 2.63, 1 Li 2.76
Br (0.9854, 0.3637, 0.1435)  1 Hf 2.63, 1 Li 2.76
Br (0.3637, 0.9854, 0.6435)  1 Hf 2.63, 1 Li 2.76
Br (0.0146, 0.6363, 0.8565)  1 Hf 2.63, 1 Li 2.76
Br (0.3783, 0.3637, 0.3565)  1 Hf 2.63, 1 Li 2.76
Br (0.9854, 0.6217, 0.3565)  1 Hf 2.63, 1 Li 2.76
Br (0.6217, 0.9854, 0.8565)  1 Hf 2.63, 1 Li 2.76
Br (0.6363, 0.0146, 0.3565)  1 Hf 2.63, 1 Li 2.76
Br (0.0146, 0.3783, 0.6435)  1 Hf 2.63, 1 Li 2.76
Br (0.3783, 0.0146, 0.1435)  1 Hf 2.63, 1 Li 2.76
Br (0.6217, 0.6363, 0.6435)  1 Hf 2.63, 1 Li 2.76
Br (0.3637, 0.3783, 0.8565)  1 Hf 2.63, 1 Li 2.76


(7)
Entry from the Alexandria database: a relaxed NaHfInBr6 crystal (PBE).

Computed properties:
**N(E_F)**: 0.00 states/eV per cell
**Space group**: P-31c (163)

a b c (Å): 7.4103 7.4103 13.7796
angles (deg): 90.00 90.00 120.00
With the nearest neighbours (Å) after each atom.
Element x y z (fractional)
Na (0.3333, 0.6667, 0.2500)  6 Br 2.99
Na (0.6667, 0.3333, 0.7500)  6 Br 2.99
Hf (0.6667, 0.3333, 0.2500)  6 Br 2.63
Hf (0.3333, 0.6667, 0.7500)  6 Br 2.63
In (0.0000, 0.0000, 0.0000)  6 Br 3.34
In (0.0000, 0.0000, 0.5000)  6 Br 3.34
Br (0.6509, 0.6139, 0.1388)  1 Hf 2.63
Br (0.9630, 0.3491, 0.1388)  1 Hf 2.63
Br (0.3491, 0.9630, 0.6388)  1 Hf 2.63
Br (0.0370, 0.6509, 0.8612)  1 Hf 2.63
Br (0.3861, 0.3491, 0.3612)  1 Hf 2.63
Br (0.9630, 0.6139, 0.3612)  1 Hf 2.63
Br (0.6139, 0.9630, 0.8612)  1 Hf 2.63
Br (0.6509, 0.0370, 0.3612)  1 Hf 2.63
Br (0.0370, 0.3861, 0.6388)  1 Hf 2.63
Br (0.3861, 0.0370, 0.1388)  1 Hf 2.63
Br (0.6139, 0.6509, 0.6388)  1 Hf 2.63
Br (0.3491, 0.3861, 0.8612)  1 Hf 2.63


(8)
Entry from the Alexandria database: a relaxed Hf2NbInBr crystal (PBE).

Computed properties:
**N(E_F)**: 7.71 states/eV per cell
**Space group**: P4/mmm (123)

a b c (Å): 5.2994 5.2162 5.2994
angles (deg): 90.00 90.00 90.00
With the nearest neighbours (Å) after each atom.
Element x y z (fractional)
Nb (0.0000, 0.5000, 0.0000)  2 In 2.61
Hf (0.0000, 0.0000, 0.5000)  2 In 2.65
Hf (0.5000, 0.0000, 0.0000)  2 In 2.65
Br (0.5000, 0.5000, 0.5000)  8 Hf 3.72, 4 Nb 3.75
In (0.0000, 0.0000, 0.0000)  2 Nb 2.61, 4 Hf 2.65


no.,raw formation energy (eV per atom),calculated total energy (eV/cell)
1,-0.071,-54.83
2,0.485,-17.42
3,-1.111,-70.94
4,-1.141,-58.08
5,-1.332,-71.64
6,-1.277,-72.26
7,-1.287,-71.26
8,1.529,-26.74